a | This record from Alexandria via LeMat-Bulk describes an optimized crystal structure of Li4Ac3Zn4. The functional is PBE.

Cell lengths 4.6510, 7.8167, 15.0198 Å; angles 90.00, 90.00, 90.00 degrees
Space group Immm (No. 71)
Asymmetric unit:
1 Li 0.0000 0.1871 0.1745 x8
2 Ac 0.0000 0.0000 0.3730 x4
3 Ac 0.0000 0.5000 0.5000 x2
4 Zn 0.0000 0.3213 0.0000 x4
5 Zn 0.0000 0.5000 0.2820 x4

=====

b | This record from Alexandria via LeMat-Bulk describes an optimized crystal structure of Li4Ac3Zn4. The functional is PBE.

Cell lengths 3.8640, 4.7010, 15.4385 Å; angles 81.34, 82.82, 89.95 degrees
Space group P-1 (No. 2)
Asymmetric unit:
1 Li 0.0952 0.0943 0.3116 x2
2 Li 0.2475 0.7471 0.0053 x2
3 Ac 0.3542 0.3541 0.7901 x2
4 Ac 0.5000 0.0000 0.5000 x1
5 Zn 0.0490 0.5495 0.4020 x2
6 Zn 0.1881 0.1887 0.1246 x2

=====

Of the structures shown above, b is the least stable.